(1)
This record from the Alexandria database describes Ba4Ru3O10 after structural relaxation. The functional is GGA-PBEsol.

Cell: 5.718 13.283 12.987 Å, 90.00 90.00 90.00°
Space group Cmce (No. 64)
One atom of each set of equivalent atoms:
Ba 0.000 0.038 0.138
Ba 0.000 0.240 0.387
Ru 0.000 0.000 0.500
Ru 0.000 0.123 0.651
O 0.000 0.036 0.348
O 0.000 0.231 0.150
O 0.228 0.110 0.534
O 0.250 0.120 0.750

Output
E_form (uncorrected): -1.95 eV per atom
Volume: 14.506 Å³/atom
Spin magnetization: 1.9 μB/f.u.
Total energy: -7.3351 eV/atom

=====

(2)
This record from the Alexandria database describes Mo13W3 after structural relaxation. The functional is GGA-PBEsol.

Cell: 6.261 8.855 8.856 Å, 90.00 90.00 90.00°
Space group Amm2 (No. 38)
One atom of each set of equivalent atoms:
Mo 0.000 0.000 0.000
Mo 0.000 0.000 0.499
Mo 0.000 0.249 0.250
Mo 0.250 0.000 0.250
Mo 0.250 0.250 0.000
Mo 0.500 0.000 0.499
Mo 0.500 0.250 0.250
W 0.250 0.000 0.749
W 0.500 0.000 0.000

Output
Calculated formation energy: 0.02 eV/f.u.
Volume: 15.344 Å³/atom
Spin magnetization: 0.0 μB/f.u.
Total energy: -12.1489 eV/atom

=====

(3)
This record from the Alexandria database describes ScNiOs2 after structural relaxation. The functional is GGA-PBEsol.

Cell: 2.7592 2.7592 26.1964 Å, 90.00 90.00 120.00°
Space group R3m (No. 160, hexagonal axes)
One atom of each set of equivalent atoms:
Sc 0.0000 0.0000 0.0000
Ni 0.0000 0.0000 0.7482
Os 0.0000 0.0000 0.2409
Os 0.0000 0.0000 0.4941

Output
Calculated formation energy: 0.80 eV/f.u.
Volume: 14.393 Å³/atom
Spin magnetization: 0.0 μB/f.u.
Total energy: -9.0997 eV/atom
Energy above the lowest structure with this stoichiometry: 0.145 eV per atom

=====

(4)
This record from the Alexandria database describes CuIO2F after structural relaxation. The functional is GGA-PBEsol.

Cell: 4.243 4.243 4.154 Å, 90.00 90.00 90.00°
Space group P4/mmm (No. 123)
One atom of each set of equivalent atoms:
Cu 0.000 0.000 0.000
I 0.500 0.500 0.000
O 0.000 0.500 0.500
F 0.500 0.500 0.500

Output
E_form (uncorrected): 1.00 eV per atom
Volume: 14.954 Å³/atom
Spin magnetization: 3.1 μB/f.u.
Total energy: -2.7060 eV/atom

=====

(5)
This record from the Alexandria database describes Mg2TlBi after structural relaxation. The functional is GGA-PBEsol.

Cell: 7.402 7.402 7.402 Å, 90.00 90.00 90.00°
Space group Fm-3m (No. 225)
One atom of each set of equivalent atoms:
Mg 0.250 0.250 0.250
Tl 0.000 0.000 0.000
Bi 0.000 0.000 0.500

Output
Calculated formation energy: -0.45 eV/f.u.
Volume: 25.344 Å³/atom
Spin magnetization: 0.0 μB/f.u.
Total energy: -2.6989 eV/atom

=====

(6)
This record from the Alexandria database describes TmMg5 after structural relaxation. The functional is GGA-PBEsol.

Cell: 11.843 3.595 7.002 Å, 90.00 107.58 90.00°
Space group C2/m (No. 12)
One atom of each set of equivalent atoms:
Tm 0.000 0.000 0.000
Mg 0.000 0.000 0.500
Mg 0.171 0.500 0.343
Mg 0.175 0.500 0.830

Output
Calculated formation energy: 0.00 eV/f.u.
Volume: 23.684 Å³/atom
Spin magnetization: 0.0 μB/f.u.
Total energy: -2.2482 eV/atom

=====

(7)
This record from the Alexandria database describes SiMo2 after structural relaxation. The functional is GGA-PBEsol.

Cell: 5.786 5.786 5.786 Å, 90.00 90.00 90.00°
Space group Fm-3m (No. 225)
One atom of each set of equivalent atoms:
Si 0.000 0.000 0.000
Mo 0.250 0.250 0.250

Output
E_form (uncorrected): 0.36 eV per atom
Volume: 16.145 Å³/atom
Spin magnetization: 0.0 μB/f.u.
Total energy: -9.3994 eV/atom
Energy above the lowest structure with this stoichiometry: 0.716 eV per atom

=====

(8)
This record from the Alexandria database describes Sc2Sb after structural relaxation. The functional is GGA-PBEsol.

Cell: 6.684 6.684 6.684 Å, 90.00 90.00 90.00°
Space group Fm-3m (No. 225)
One atom of each set of equivalent atoms:
Sc 0.250 0.250 0.250
Sb 0.000 0.000 0.000

Output
E_form (uncorrected): -0.53 eV per atom
Volume: 24.888 Å³/atom
Spin magnetization: 0.3 μB/f.u.
Total energy: -6.4497 eV/atom

=====

(9)
This record from the Alexandria database describes Rb2NbP after structural relaxation. The functional is GGA-PBEsol.

Cell: 12.756 12.756 4.857 Å, 90.00 90.00 90.00°
Space group I-42d (No. 122)
One atom of each set of equivalent atoms:
Rb 0.069 0.250 0.125
Nb 0.000 0.000 0.500
P 0.000 0.000 0.000

Output
Calculated formation energy: 1.97 eV/f.u.
Volume: 49.388 Å³/atom
Spin magnetization: 3.4 μB/f.u.
Total energy: -4.1740 eV/atom

=====

(10)
This record from the Alexandria database describes LaPIr2 after structural relaxation. The functional is GGA-PBEsol.

Cell: 4.042 4.042 4.761 Å, 90.00 90.00 90.00°
Space group P4mm (No. 99)
One atom of each set of equivalent atoms:
La 0.000 0.000 0.000
P 0.500 0.500 0.311
Ir 0.000 0.500 0.535

Output
Calculated formation energy: -3.17 eV/f.u.
Volume: 19.448 Å³/atom
Spin magnetization: 0.0 μB/f.u.
Total energy: -8.4894 eV/atom

=====

(11)
This record from the Alexandria database describes FeTcBr2 after structural relaxation. The functional is GGA-PBEsol.

Cell: 4.476 4.476 3.138 Å, 90.00 90.00 90.00°
Space group P4/mmm (No. 123)
One atom of each set of equivalent atoms:
Fe 0.000 0.000 0.000
Tc 0.500 0.500 0.000
Br 0.000 0.500 0.500

Output
E_form (uncorrected): 0.85 eV per atom
Volume: 15.716 Å³/atom
Spin magnetization: 3.6 μB/f.u.
Total energy: -5.1387 eV/atom
Energy above the lowest structure with this stoichiometry: 0.516 eV per atom

=====

(12)
This record from the Alexandria database describes NiAgAsBr2 after structural relaxation. The functional is GGA-PBEsol.

Cell: 5.100 5.100 5.028 Å, 90.00 90.00 90.00°
Space group P4/mmm (No. 123)
One atom of each set of equivalent atoms:
Ni 0.000 0.000 0.000
Ag 0.500 0.500 0.500
As 0.500 0.500 0.000
Br 0.000 0.500 0.500

Output
E_form (uncorrected): 1.02 eV per atom
Volume: 26.160 Å³/atom
Spin magnetization: 1.7 μB/f.u.
Total energy: -2.6459 eV/atom

=====

(13)
This record from the Alexandria database describes CaLaCo after structural relaxation. The functional is GGA-PBEsol.

Cell: 3.401 3.401 13.190 Å, 90.00 90.00 90.00°
Space group I4mm (No. 107)
One atom of each set of equivalent atoms:
Ca 0.000 0.000 0.000
La 0.000 0.000 0.752
Co 0.000 0.000 0.362

Output
Calculated formation energy: 0.24 eV/f.u.
Volume: 25.425 Å³/atom
Spin magnetization: 0.1 μB/f.u.
Total energy: -4.9918 eV/atom
Energy above the lowest structure with this stoichiometry: 0.000 eV per atom

=====

(14)
This record from the Alexandria database describes Nd2SeOF2 after structural relaxation. The functional is GGA-PBEsol.

Cell: 13.6919 13.6919 3.8534 Å, 90.00 90.00 120.00°
Space group P6_3/m (No. 176)
One atom of each set of equivalent atoms:
Nd 0.0555 0.7662 0.2500
Nd 0.1197 0.5158 0.2500
Se 0.2053 0.7183 0.7500
O 0.0148 0.4272 0.7500
F 0.0677 0.3155 0.2500
F 0.1014 0.8918 0.7500

Output
E_form (uncorrected): -3.40 eV per atom
Volume: 17.378 Å³/atom
Spin magnetization: 0.0 μB/f.u.
Total energy: -7.2806 eV/atom

=====

(15)
This record from the Alexandria database describes MgTeCl2 after structural relaxation. The functional is GGA-PBEsol.

Cell: 7.944 7.944 6.421 Å, 90.00 90.00 90.00°
Space group I-42d (No. 122)
One atom of each set of equivalent atoms:
Mg 0.000 0.000 0.000
Te 0.000 0.000 0.500
Cl 0.137 0.750 0.125

Output
E_form (uncorrected): -0.71 eV per atom
Volume: 25.326 Å³/atom
Spin magnetization: 0.0 μB/f.u.
Total energy: -3.0230 eV/atom
Energy above the lowest structure with this stoichiometry: 0.000 eV per atom

=====

(16)
This record from the Alexandria database describes AcAg after structural relaxation. The functional is GGA-PBEsol.

Cell: 3.884 3.884 3.884 Å, 90.00 90.00 90.00°
Space group Pm-3m (No. 221)
One atom of each set of equivalent atoms:
Ac 0.000 0.000 0.000
Ag 0.500 0.500 0.500

Output
Calculated formation energy: -0.47 eV/f.u.
Volume: 29.286 Å³/atom
Spin magnetization: 0.0 μB/f.u.
Total energy: -4.1414 eV/atom

=====

(17)
This record from the Alexandria database describes Li4Ir3 after structural relaxation. The functional is GGA-PBEsol.

Cell: 5.0586 5.0586 4.6809 Å, 90.00 90.00 120.00°
Space group P6/mmm (No. 191)
One atom of each set of equivalent atoms:
Li 0.0000 0.0000 0.2316
Li 0.3333 0.6667 0.5000
Ir 0.0000 0.5000 0.0000

Output
Calculated formation energy: -0.42 eV/f.u.
Volume: 14.819 Å³/atom
Spin magnetization: 0.0 μB/f.u.
Total energy: -5.3943 eV/atom

=====

(18)
This record from the Alexandria database describes CoMo2Ir after structural relaxation. The functional is GGA-PBEsol.

Cell: 2.694 3.784 5.333 Å, 90.00 90.00 90.00°
Space group Pmmm (No. 47)
One atom of each set of equivalent atoms:
Co 0.000 0.000 0.000
Mo 0.500 0.500 0.240
Ir 0.000 0.000 0.500

Output
Calculated formation energy: -0.56 eV/f.u.
Volume: 13.594 Å³/atom
Spin magnetization: 0.0 μB/f.u.
Total energy: -10.4133 eV/atom
Energy above the lowest structure with this stoichiometry: 0.015 eV per atom

=====

(19)
This record from the Alexandria database describes Be3Tl2Zn2F12 after structural relaxation. The functional is GGA-PBEsol.

Cell: 10.018 10.018 10.018 Å, 90.00 90.00 90.00°
Space group P2_13 (No. 198)
One atom of each set of equivalent atoms:
Be 0.021 0.210 0.376
Tl 0.044 0.044 0.044
Tl 0.184 0.316 0.684
Zn 0.100 0.900 0.400
Zn 0.166 0.666 0.834
F 0.008 0.559 0.767
F 0.009 0.064 0.325
F 0.046 0.804 0.228
F 0.095 0.832 0.746

Output
E_form (uncorrected): -2.65 eV per atom
Volume: 13.228 Å³/atom
Spin magnetization: 0.0 μB/f.u.
Total energy: -4.9434 eV/atom

=====

(20)
This record from the Alexandria database describes NaAu3 after structural relaxation. The functional is GGA-PBEsol.

Cell: 4.019 4.019 8.528 Å, 90.00 90.00 90.00°
Space group I4/mmm (No. 139)
One atom of each set of equivalent atoms:
Na 0.000 0.000 0.000
Au 0.000 0.000 0.500
Au 0.000 0.500 0.250

Output
Calculated formation energy: -0.61 eV/f.u.
Volume: 17.216 Å³/atom
Spin magnetization: 0.0 μB/f.u.
Total energy: -3.4442 eV/atom